(1)
The following is a PBE calculation of crystalline KGeI2O8 at its relaxed geometry, from the Alexandria database.

Computed properties:
Uncorrected formation energy (eV/atom): -0.636
ρ (g/cm³): 4.37

Geometry as POSCAR:
```
KGeI2O8
1.0
5.559 0.000 0.000
2.779 5.518 0.643
2.779 2.684 6.430
O Ge I K
8 1 2 1
direct
0.357 0.987 0.796 O
0.321 0.480 0.877 O
0.085 0.626 0.205 O
0.643 0.013 0.204 O
0.915 0.374 0.795 O
0.860 0.987 0.796 O
0.140 0.013 0.204 O
0.679 0.520 0.123 O
0.000 0.000 0.000 Ge
0.282 0.266 0.170 I
0.718 0.734 0.830 I
0.500 0.500 0.500 K
```


(2)
The following is a PBE calculation of crystalline Pr3Er2Pb3 at its relaxed geometry, from the Alexandria database.

Computed properties:
ρ (g/cm³): 9.28
Formation energy (eV per atom): -0.415

Geometry as POSCAR:
```
Pr3Er2Pb3
1.0
-3.575 -0.192 2.632
2.993 -0.084 4.059
0.018 11.134 -2.916
Pb Pr Er
3 3 2
direct
0.000 0.500 0.000 Pb
0.862 0.862 0.723 Pb
0.138 0.138 0.277 Pb
0.500 0.000 0.000 Pr
0.621 0.621 0.242 Pr
0.379 0.379 0.758 Pr
0.746 0.246 0.491 Er
0.254 0.754 0.509 Er
```


(3)
The following is a PBE calculation of crystalline Ce3Sn2Au at its relaxed geometry, from the Alexandria database.

Computed properties:
ρ (g/cm³): 8.23
Formation energy (eV per atom): -0.584

Geometry as POSCAR:
```
Ce3Sn2Au
1.0
-1.182 4.436 0.654
-9.060 -1.362 -7.145
-7.324 -3.417 9.938
Sn Ce Au
8 12 4
direct
0.750 0.016 0.690 Sn
0.250 0.693 0.496 Sn
0.750 0.193 0.004 Sn
0.750 0.307 0.504 Sn
0.750 0.484 0.190 Sn
0.250 0.984 0.310 Sn
0.250 0.807 0.996 Sn
0.250 0.516 0.810 Sn
0.250 0.383 0.043 Ce
0.250 0.804 0.725 Ce
0.750 0.562 0.629 Ce
0.750 0.883 0.457 Ce
0.750 0.196 0.275 Ce
0.750 0.617 0.957 Ce
0.750 0.938 0.129 Ce
0.250 0.696 0.225 Ce
0.250 0.117 0.543 Ce
0.250 0.438 0.371 Ce
0.750 0.304 0.775 Ce
0.250 0.062 0.871 Ce
0.250 0.131 0.126 Au
0.750 0.631 0.374 Au
0.750 0.869 0.874 Au
0.250 0.369 0.626 Au
```


(4)
The following is a PBE calculation of crystalline La7Tb2Er3 at its relaxed geometry, from the Alexandria database.

Computed properties:
ρ (g/cm³): 7.21
Formation energy (eV per atom): 0.065

Geometry as POSCAR:
```
La7Tb2Er3
1.0
-2.924 0.679 -1.944
-1.497 -6.353 0.033
-10.431 -2.390 14.855
La Er Tb
7 3 2
direct
0.000 0.446 0.833 La
0.500 0.771 0.491 La
0.500 0.946 0.827 La
0.000 0.000 0.000 La
0.500 0.229 0.509 La
0.000 0.554 0.167 La
0.500 0.054 0.173 La
0.500 0.500 0.000 Er
0.000 0.120 0.338 Er
0.000 0.880 0.662 Er
0.500 0.388 0.670 Tb
0.500 0.612 0.330 Tb
```


(5)
The following is a PBE calculation of crystalline Sc2CdPd9 at its relaxed geometry, from the Alexandria database.

Computed properties:
ρ (g/cm³): 9.91
Formation energy (eV per atom): -0.645

Geometry as POSCAR:
```
Sc2CdPd9
1.0
4.003 0.000 0.000
0.000 4.003 0.000
0.000 0.000 12.130
Pd Sc Cd
9 2 1
direct
0.500 0.500 0.336 Pd
0.000 0.500 0.500 Pd
0.000 0.500 0.829 Pd
0.500 0.000 0.500 Pd
0.500 0.500 0.000 Pd
0.500 0.000 0.171 Pd
0.500 0.500 0.664 Pd
0.500 0.000 0.829 Pd
0.000 0.500 0.171 Pd
0.000 0.000 0.668 Sc
0.000 0.000 0.332 Sc
0.000 0.000 0.000 Cd
```


(6)
The following is a PBE calculation of crystalline NdEr5In6 at its relaxed geometry, from the Alexandria database.

Computed properties:
ρ (g/cm³): 8.72
Formation energy (eV per atom): -0.449

Geometry as POSCAR:
```
NdEr5In6
1.0
-1.153 3.421 -3.900
-7.290 -1.580 0.768
-1.289 7.590 3.389
In Er Nd
6 5 1
direct
0.170 0.255 0.660 In
0.500 0.746 0.000 In
0.170 0.745 0.660 In
0.830 0.255 0.340 In
0.830 0.745 0.340 In
0.500 0.254 0.000 In
0.664 0.500 0.673 Er
0.668 0.000 0.665 Er
0.336 0.500 0.327 Er
0.000 0.500 0.000 Er
0.332 0.000 0.335 Er
0.000 0.000 0.000 Nd
```


(7)
The following is a PBE calculation of crystalline TaSnP2O at its relaxed geometry, from the Alexandria database.

Computed properties:
Energy above the lowest structure with this stoichiometry (meV/atom): 1336.0
Uncorrected formation energy (eV/atom): 0.724
ρ (g/cm³): 6.59

Geometry as POSCAR:
```
TaSnP2O
1.0
-1.155 0.170 -4.854
0.972 -4.881 -0.402
-3.640 -0.794 0.838
P Ta O Sn
2 1 1 1
direct
0.500 0.000 0.000 P
0.000 0.500 0.000 P
0.500 0.500 0.500 Ta
0.000 0.000 0.500 O
0.000 0.000 0.000 Sn
```


(8)
The following is a PBE calculation of crystalline Mg3UZn2N6 at its relaxed geometry, from the Alexandria database.

Computed properties:
Uncorrected formation energy (eV/atom): -0.520
ρ (g/cm³): 6.59

Geometry as POSCAR:
```
Mg3UZn2N6
1.0
-5.214 -0.387 1.566
4.052 -1.762 3.203
0.661 5.358 0.754
Mg N Zn U
3 6 2 1
direct
0.823 0.177 0.500 Mg
0.500 0.500 0.500 Mg
0.177 0.823 0.500 Mg
0.907 0.583 0.754 N
0.417 0.093 0.246 N
0.768 0.768 0.249 N
0.093 0.417 0.246 N
0.232 0.232 0.751 N
0.583 0.907 0.754 N
0.669 0.331 0.000 Zn
0.331 0.669 0.000 Zn
0.000 0.000 0.000 U
```


(9)
The following is a PBE calculation of crystalline Li2Mg6Ag at its relaxed geometry, from the Alexandria database.

Computed properties:
Energy above the lowest structure with this stoichiometry (meV/atom): 0.0
ρ (g/cm³): 2.43
Formation energy (eV per atom): -0.100

Geometry as POSCAR:
```
Li2Mg6Ag
1.0
4.858 0.000 0.000
-2.429 4.158 -0.636
0.000 1.355 8.843
Mg Li Ag
6 2 1
direct
0.333 0.667 0.600 Mg
0.334 0.667 0.948 Mg
0.666 0.333 0.052 Mg
0.667 0.333 0.400 Mg
0.000 0.001 0.816 Mg
0.000 0.999 0.184 Mg
0.667 0.334 0.720 Li
0.333 0.666 0.280 Li
0.000 0.000 0.500 Ag
```


(10)
The following is a PBE calculation of crystalline Ac2SbF at its relaxed geometry, from the Alexandria database.

Computed properties:
Energy above the lowest structure with this stoichiometry (meV/atom): 320.2
Uncorrected formation energy (eV/atom): -1.381
ρ (g/cm³): 8.15

Geometry as POSCAR:
```
Ac2SbF
1.0
-3.267 2.359 0.941
-0.622 -2.713 4.641
3.263 3.522 2.496
Ac F Sb
2 1 1
direct
0.000 0.500 0.000 Ac
0.000 0.000 0.500 Ac
0.500 0.500 0.500 F
0.500 0.000 0.000 Sb
```


(11)
The following is a PBE calculation of crystalline NdScO at its relaxed geometry, from the Alexandria database.

Computed properties:
Uncorrected formation energy (eV/atom): -1.745
ρ (g/cm³): 5.74

Geometry as POSCAR:
```
NdScO
1.0
-4.042 -0.475 4.295
1.948 -2.304 1.579
0.365 3.310 0.709
Sc Nd O
1 1 1
direct
0.126 0.000 0.000 Sc
0.585 0.667 0.333 Nd
0.288 0.333 0.667 O
```


(12)
The following is a PBE calculation of crystalline CaCeY2S4 at its relaxed geometry, from the Alexandria database.

Computed properties:
Uncorrected formation energy (eV/atom): -2.031
ρ (g/cm³): 4.56

Geometry as POSCAR:
```
CaCeY2S4
1.0
-1.141 2.492 2.847
-6.312 -2.712 -0.156
-0.327 -5.257 4.469
S Ce Y Ca
4 1 2 1
direct
0.000 0.758 0.744 S
0.000 0.242 0.256 S
0.500 0.756 0.251 S
0.500 0.244 0.749 S
0.500 0.500 0.000 Ce
0.000 0.000 0.000 Y
0.500 0.000 0.500 Y
0.000 0.500 0.500 Ca
```


(13)
The following is a PBE calculation of crystalline Ca2LaMg5 at its relaxed geometry, from the Alexandria database.

Computed properties:
ρ (g/cm³): 2.45
Formation energy (eV per atom): -0.083

Geometry as POSCAR:
```
Ca2LaMg5
1.0
-0.777 -5.194 -1.515
4.566 -1.451 2.632
-5.995 2.064 5.862
La Mg Ca
1 5 2
direct
0.000 0.000 0.000 La
0.619 0.119 0.237 Mg
0.381 0.881 0.763 Mg
0.500 0.500 0.000 Mg
0.881 0.381 0.763 Mg
0.119 0.619 0.237 Mg
0.256 0.256 0.512 Ca
0.744 0.744 0.488 Ca
```


(14)
The following is a PBE calculation of crystalline InSn2Ge at its relaxed geometry, from the Alexandria database.

Computed properties:
Energy above the lowest structure with this stoichiometry (meV/atom): 22.3
ρ (g/cm³): 6.41
Formation energy (eV per atom): 0.125

Geometry as POSCAR:
```
InSn2Ge
1.0
-1.443 -3.928 1.170
2.530 -3.492 -0.534
2.910 -1.570 6.384
Sn Ge In
2 1 1
direct
0.074 0.074 0.777 Sn
0.260 0.260 0.221 Sn
0.667 0.667 0.000 Ge
0.500 0.500 0.501 In
```


(15)
The following is a PBE calculation of crystalline LaErTm at its relaxed geometry, from the Alexandria database.

Computed properties:
Energy above the lowest structure with this stoichiometry (meV/atom): 2.3
ρ (g/cm³): 8.07
Formation energy (eV per atom): 0.037

Geometry as POSCAR:
```
LaErTm
1.0
-0.948 2.440 -2.462
-3.038 0.644 1.808
5.511 3.851 4.317
La Er Tm
1 1 1
direct
0.333 0.333 0.666 La
0.004 0.004 0.008 Er
0.663 0.663 0.326 Tm
```


(16)
The following is a PBE calculation of crystalline BeFeTc2 at its relaxed geometry, from the Alexandria database.

Computed properties:
ρ (g/cm³): 8.77
Formation energy (eV per atom): 0.046

Geometry as POSCAR:
```
BeFeTc2
1.0
-0.670 0.575 -4.565
-3.946 -1.925 -1.530
1.485 3.096 3.134
Tc Be Fe
2 1 1
direct
0.506 0.506 0.000 Tc
0.994 0.994 0.000 Tc
0.750 0.250 0.500 Be
0.250 0.750 0.500 Fe
```


(17)
The following is a PBE calculation of crystalline SnTe2H at its relaxed geometry, from the Alexandria database.

Computed properties:
Energy above the lowest structure with this stoichiometry (meV/atom): 0.0
ρ (g/cm³): 5.00

Geometry as POSCAR:
```
SnTe2H
1.0
2.556 0.000 7.343
-1.278 2.213 7.343
-1.278 -2.213 7.343
Sn Te H
1 2 1
direct
0.500 0.500 0.500 Sn
0.089 0.089 0.089 Te
0.911 0.911 0.911 Te
0.000 0.000 0.000 H
```


(18)
The following is a PBE calculation of crystalline Cs3Dy3SnSe8 at its relaxed geometry, from the Alexandria database.

Computed properties:
Uncorrected formation energy (eV/atom): -1.444
ρ (g/cm³): 5.24

Geometry as POSCAR:
```
Cs3Dy3SnSe8
1.0
-1.291 8.198 -0.960
-6.085 -5.429 -1.825
1.629 1.383 9.612
Se Cs Dy Sn
8 3 3 1
direct
0.779 0.040 0.319 Se
0.272 0.544 0.316 Se
0.779 0.557 0.319 Se
0.221 0.443 0.681 Se
0.221 0.960 0.681 Se
0.262 0.040 0.319 Se
0.728 0.456 0.684 Se
0.738 0.960 0.681 Se
0.500 0.500 0.000 Cs
0.000 0.000 0.000 Cs
0.000 0.500 0.000 Cs
0.500 0.000 0.500 Dy
0.500 0.500 0.500 Dy
0.000 0.500 0.500 Dy
0.000 0.000 0.500 Sn
```


(19)
The following is a PBE calculation of crystalline NdLuMgPb at its relaxed geometry, from the Alexandria database.

Computed properties:
ρ (g/cm³): 8.23
Formation energy (eV per atom): -0.254

Geometry as POSCAR:
```
NdLuMgPb
1.0
-1.062 -0.267 -5.283
3.361 -2.635 -3.297
-1.512 -4.682 -2.214
Mg Lu Nd Pb
1 1 1 1
direct
0.000 0.000 0.000 Mg
0.250 0.250 0.250 Lu
0.750 0.750 0.750 Nd
0.500 0.500 0.500 Pb
```